(1)
5
Lattice="3.708 0.000 0.000 0.000 3.708 0.000 0.000 0.000 3.915" Properties=species:S:1:pos:R:3 comment="TaFeNO2, relaxed, DFT PBE with a Hubbard U" volume_a3_per_cell=53.8 sg="P4/mmm (123)" energy_ev_per_atom=-7.260 pbc="T T T"
Ta 0.000 0.000 0.000
Fe 1.854 1.854 1.957
N 1.854 1.854 0.000
O 0.000 1.854 1.957
O 1.854 0.000 1.957


(2)
5
Lattice="3.810 0.000 0.000 0.000 3.810 0.000 0.000 0.000 4.100" Properties=species:S:1:pos:R:3 comment="FeTeNO2, relaxed, DFT PBE with a Hubbard U" volume_a3_per_cell=59.5 sg="P4/mmm (123)" energy_ev_per_atom=-5.293 pbc="T T T"
Fe 0.000 0.000 0.000
Te 1.905 1.905 2.050
N 0.000 0.000 2.050
O 0.000 1.905 0.000
O 1.905 0.000 0.000


(3)
5
Lattice="4.025 0.000 0.000 0.000 4.025 0.000 0.000 0.000 4.128" Properties=species:S:1:pos:R:3 comment="FeTeNO2, relaxed, DFT PBE with a Hubbard U" volume_a3_per_cell=66.9 sg="P4/mmm (123)" energy_ev_per_atom=-5.228 pbc="T T T"
Fe 0.000 0.000 0.000
Te 2.013 2.013 2.064
N 2.013 2.013 0.000
O 0.000 2.013 2.064
O 2.013 0.000 2.064